(1)
The following is a GGA-PBE calculation of YTlCu2 after structural relaxation, from Alexandria via LeMat-Bulk.

```
YTlCu2
1.0
4.278 -0.006 0.005
2.140 3.705 0.005
2.124 1.224 5.279
Y Cu Tl
1 2 1
Direct
0.268 0.268 0.195 Y
0.046 0.046 0.861 Cu
0.713 0.713 0.861 Cu
0.473 0.473 0.583 Tl
```

space group	No. 8
formation energy	-86	meV per atom

=====

(2)
The following is a GGA-PBE calculation of BaPBr2 after structural relaxation, from Alexandria via LeMat-Bulk.

```
BaPBr2
1.0
-4.251 -2.993 -0.716
0.707 -2.139 4.740
-7.398 4.466 6.023
P Ba Br
2 2 4
Direct
0.250 0.750 0.500 P
0.500 0.500 0.000 P
0.000 0.000 0.000 Ba
0.750 0.250 0.500 Ba
0.375 0.424 0.750 Br
0.875 0.826 0.750 Br
0.174 0.625 0.250 Br
0.576 0.125 0.250 Br
```

space group	No. 122
uncorrected formation energy	-670.3	meV per atom

=====

(3)
The following is a GGA-PBE calculation of Sr2YCo after structural relaxation, from Alexandria via LeMat-Bulk.

```
Sr2YCo
1.0
3.699 0.000 0.000
0.000 3.699 0.000
0.000 0.000 9.509
Sr Co Y
2 1 1
Direct
0.000 0.000 0.937 Sr
0.000 0.000 0.563 Sr
0.500 0.500 0.750 Co
0.500 0.500 0.250 Y
```

space group	No. 123
formation energy	447	meV per atom

=====

(4)
The following is a GGA-PBE calculation of YTm3Ag4 after structural relaxation, from Alexandria via LeMat-Bulk.

```
YTm3Ag4
1.0
-1.604 -3.353 -3.520
-3.487 -3.638 5.055
-8.335 5.709 -1.641
Ag Tm Y
8 6 2
Direct
0.500 0.245 0.500 Ag
0.000 0.245 0.750 Ag
0.000 0.245 0.250 Ag
0.500 0.245 0.000 Ag
0.000 0.755 0.750 Ag
0.000 0.755 0.250 Ag
0.500 0.755 0.000 Ag
0.500 0.755 0.500 Ag
0.500 0.500 0.750 Tm
0.000 0.000 0.500 Tm
0.500 0.500 0.250 Tm
0.000 0.000 0.000 Tm
0.500 0.000 0.750 Tm
0.500 0.000 0.250 Tm
0.000 0.500 0.500 Y
0.000 0.500 0.000 Y
```

space group	No. 123
formation energy	-336	meV per atom

=====

no.,energy (Ry per atom)
1,-0.319
2,-0.245
3,-0.278
4,-0.312